(1)
Pm2Dy2Er7 (PBE-GGA, optimized geometry); total magnetization = 0.00 Bohr magnetons per cell; space-group type = No. 12
1.0
5.579 -5.738 0.000
5.579 5.738 0.000
-2.437 0.000 5.526
Pm Dy Er
2 2 7
direct
0.093 0.093 0.307 Pm
0.907 0.907 0.693 Pm
0.287 0.713 0.000 Dy
0.713 0.287 0.000 Dy
0.089 0.564 0.322 Er
0.270 0.270 0.921 Er
0.436 0.911 0.678 Er
0.500 0.500 0.500 Er
0.564 0.089 0.322 Er
0.730 0.730 0.079 Er
0.911 0.436 0.678 Er



(2)
Pm2Dy8Er3 (PBE-GGA, optimized geometry); total magnetization = 0.00 Bohr magnetons per cell; energy above the most stable polymorph in this dataset = 0 meV per atom; space-group type = No. 55
1.0
11.681 0.000 0.000
0.000 20.619 0.000
0.000 0.000 3.501
Pm Dy Er
4 16 6
direct
0.180 0.099 0.000 Pm
0.320 0.599 0.000 Pm
0.680 0.401 0.000 Pm
0.820 0.901 0.000 Pm
0.046 0.572 0.000 Dy
0.053 0.842 0.500 Dy
0.127 0.285 0.000 Dy
0.208 0.447 0.500 Dy
0.292 0.947 0.500 Dy
0.373 0.785 0.000 Dy
0.447 0.342 0.500 Dy
0.454 0.072 0.000 Dy
0.546 0.928 0.000 Dy
0.553 0.658 0.500 Dy
0.627 0.215 0.000 Dy
0.708 0.053 0.500 Dy
0.792 0.553 0.500 Dy
0.873 0.715 0.000 Dy
0.947 0.158 0.500 Dy
0.954 0.428 0.000 Dy
0.000 0.000 0.500 Er
0.145 0.701 0.500 Er
0.355 0.201 0.500 Er
0.500 0.500 0.500 Er
0.645 0.799 0.500 Er
0.855 0.299 0.500 Er



(3)
Pm4DyEr5 (PBE-GGA, optimized geometry); total magnetization = 0.00 Bohr magnetons per cell; energy above the most stable polymorph in this dataset = 0 meV per atom; space-group type = No. 12
1.0
8.547 -1.758 0.000
8.547 1.758 0.000
-0.013 0.000 11.168
Pm Dy Er
4 1 5
direct
0.031 0.031 0.249 Pm
0.344 0.344 0.250 Pm
0.656 0.656 0.750 Pm
0.969 0.969 0.751 Pm
0.500 0.500 0.500 Dy
0.173 0.173 0.050 Er
0.174 0.174 0.449 Er
0.500 0.500 0.000 Er
0.826 0.826 0.551 Er
0.827 0.827 0.950 Er



(4)
Pm6Dy3Er2 (PBE-GGA, optimized geometry); total magnetization = 0.00 Bohr magnetons per cell; energy above the most stable polymorph in this dataset = 280 meV per atom; space-group type = No. 139
1.0
-2.383 2.383 16.773
2.383 -2.383 16.773
2.383 2.383 -16.773
Pm Dy Er
6 3 2
direct
0.120 0.620 0.500 Pm
0.200 0.200 0.000 Pm
0.380 0.880 0.500 Pm
0.620 0.120 0.500 Pm
0.800 0.800 0.000 Pm
0.880 0.380 0.500 Pm
0.302 0.302 0.000 Dy
0.500 0.500 0.000 Dy
0.698 0.698 0.000 Dy
0.045 0.045 0.000 Er
0.955 0.955 0.000 Er



| no. | VASP energy (eV per atom) | formation energy (eV per formula unit) |
| --- | --- | --- |
| 1 | -4.449 | 1.7 |
| 2 | -4.462 | 2.0 |
| 3 | -4.449 | 1.9 |
| 4 | -4.381 | 3.2 |